[1]
# CoAs2RhSe (SCAN, single point on PBEsol structure)
data_CoAs2RhSe
_cell_length_a 4.5760
_cell_length_b 4.5760
_cell_length_c 5.0942
_cell_angle_alpha 90.00
_cell_angle_beta 90.00
_cell_angle_gamma 90.00
_space_group_name_H-M_alt 'P 1'
_space_group_IT_number 1
loop_
_space_group_symop_operation_xyz
'x,y,z'
loop_
_atom_site_label
_atom_site_type_symbol
_atom_site_fract_x
_atom_site_fract_y
_atom_site_fract_z
_atom_site_occupancy
Co1 Co 0.5000 0.5000 0.5000 1
As1 As 0.0000 0.5000 0.0000 1
As2 As 0.5000 0.0000 0.0000 1
Rh1 Rh 0.0000 0.0000 0.0000 1
Se1 Se 0.0000 0.0000 0.5000 1
# - N(E_F): 0.32 states/eV/atom
# - Magnetic moment: 2.1 μB/f.u.
# - ρ: 6.081 g/cm3
# - Symmetry: No. 123

***

[2]
# CaAl2Hg (SCAN, single point on PBEsol structure)
data_CaAl2Hg
_cell_length_a 3.5214
_cell_length_b 3.5214
_cell_length_c 7.1162
_cell_angle_alpha 90.00
_cell_angle_beta 90.00
_cell_angle_gamma 92.64
_space_group_name_H-M_alt 'P 1'
_space_group_IT_number 1
loop_
_space_group_symop_operation_xyz
'x,y,z'
loop_
_atom_site_label
_atom_site_type_symbol
_atom_site_fract_x
_atom_site_fract_y
_atom_site_fract_z
_atom_site_occupancy
Ca1 Ca 0.5000 0.5000 0.5000 1
Hg1 Hg 0.5000 0.5000 0.0000 1
Al1 Al 0.0000 0.0000 0.2007 1
Al2 Al 0.0000 0.0000 0.7993 1
# - N(E_F): 0.37 states/eV/atom
# - Magnetic moment: 0.0 μB/f.u.
# - ρ: 5.550 g/cm3
# - Symmetry: No. 65

***

One value per record, in order, for uncorrected energy: -108.1, -93.8 eV/cell.